# La2CdCuO5 | Alexandria via LeMat-Bulk | PBE | optimized geometry
# ΔE_f (raw), meV/atom: -2034
# M_tot, μB per cell: 1.7
data_La2CdCuO5
_chemical_formula_sum 'La4 Cd2 Cu2 O10'
_cell_length_a 6.882
_cell_length_b 6.882
_cell_length_c 5.665
_cell_angle_alpha 90.00
_cell_angle_beta 90.00
_cell_angle_gamma 90.00
_space_group_name_H-M_alt 'P 4/m b m'
_space_group_IT_number 127
_space_group_name_Hall '-P 4 2ab'
loop_
_atom_site_label
_atom_site_type_symbol
_atom_site_fract_x
_atom_site_fract_y
_atom_site_fract_z
La1 La 0.176 0.324 0.000
Cd1 Cd 0.000 0.000 0.500
Cu1 Cu 0.000 0.500 0.500
O1 O 0.000 0.000 0.000
O2 O 0.138 0.638 0.261